[1]
Here is a geometry-optimized Cs3NaS2O8 structure from Alexandria. Energies are from PBE.

Results
* calculated total energy: -5.54 eV per atom
* V: 266.80 Å³ per cell
* energy relative to the elements, uncorrected: -1.835 eV per atom
* calculated density: 3.82 g/cm3

a = 6.1523 Å, b = 6.1523 Å, c = 8.1392 Å
α = 90.00°, β = 90.00°, γ = 120.00°
With the nearest neighbours (Å) after each atom.
Space group P-3m1 (No. 164)
One atom of each set of equivalent atoms:
Cs  0.0000  0.0000  0.0000  12 O 3.39-3.61
Cs  0.3333  0.6667  0.7029  10 O 3.06-3.40
Na  0.0000  0.0000  0.5000  6 O 2.57
S  0.3333  0.6667  0.2611  4 O 1.49-1.50
O  0.2005  0.4011  0.3236  1 S 1.50
O  0.3333  0.6667  0.0786  1 S 1.49

=====

[2]
Here is a geometry-optimized PmGe2Rh6 structure from Alexandria. Energies are from PBE.

Results
* calculated total energy: -6.46 eV per atom
* V: 1365.06 Å³ per cell
* formation enthalpy at 0 K: -7 meV per atom
* calculated density: 8.83 g/cm3

a = 11.0930 Å, b = 11.0930 Å, c = 11.0930 Å
α = 90.00°, β = 90.00°, γ = 90.00°
With the nearest neighbours (Å) after each atom.
Space group Fd-3m (No. 227, origin choice 2)
One atom of each set of equivalent atoms:
Pm  0.1250  0.1250  0.1250  6 Rh 2.74
Ge  0.0000  0.0000  0.5000  6 Rh 2.42
Rh  0.1221  0.3750  0.3750  2 Ge 2.42

=====

[3]
Here is a geometry-optimized Pm2OsPb structure from Alexandria. Energies are from PBE.

Results
* calculated total energy: -6.38 eV per atom
* V: 104.87 Å³ per cell
* energy relative to the lowest polymorph listed for this composition: 0.000 eV per atom
* formation enthalpy at 0 K: -265 meV per atom
* calculated density: 10.88 g/cm3

a = 3.4644 Å, b = 3.4644 Å, c = 8.7379 Å
α = 90.00°, β = 90.00°, γ = 90.00°
With the nearest neighbours (Å) after each atom.
Space group P4/mmm (No. 123)
One atom of each set of equivalent atoms:
Pm  0.0000  0.0000  0.1979  4 Os 3.00
Os  0.5000  0.5000  0.0000  8 Pm 3.00
Pb  0.5000  0.5000  0.5000  4 Pb 3.46, 8 Pm 3.60

=====

[4]
Here is a geometry-optimized La2YSn3Pt4 structure from Alexandria. Energies are from PBE.

Results
* calculated total energy: -6.21 eV per atom
* V: 239.64 Å³ per cell
* formation enthalpy at 0 K: -956 meV per atom
* calculated density: 10.42 g/cm3

a = 4.6481 Å, b = 4.6481 Å, c = 11.0916 Å
α = 90.00°, β = 90.00°, γ = 90.00°
With the nearest neighbours (Å) after each atom.
Space group P-4m2 (No. 115)
One atom of each set of equivalent atoms:
La  0.0000  0.5000  0.2224  8 Pt 3.39-3.62, 4 Sn 3.47
Y  0.0000  0.0000  0.5000  4 Pt 2.81
Sn  0.0000  0.5000  0.8769  5 Pt 2.61-2.70
Sn  0.5000  0.5000  0.5000  4 Pt 2.81
Pt  0.0000  0.0000  0.0000  4 Sn 2.70
Pt  0.0000  0.5000  0.6418  3 Sn 2.61-2.81, 2 Y 2.81
Pt  0.5000  0.5000  0.0000  4 Sn 2.70

=====

[5]
Here is a geometry-optimized Nd7Ho12Th structure from Alexandria. Energies are from PBE.

Results
* calculated total energy: -4.55 eV per atom
* V: 2015.27 Å³ per cell
* formation enthalpy at 0 K: 235 meV per atom
* calculated density: 7.96 g/cm3

a = 12.2952 Å, b = 12.2952 Å, c = 15.3932 Å
α = 90.00°, β = 90.00°, γ = 120.00°
With the nearest neighbours (Å) after each atom.
Space group R-3 (No. 148, hexagonal axes)
One atom of each set of equivalent atoms:
Nd  0.0000  0.0000  0.0000  6 Ho 3.22
Nd  0.0335  0.1840  0.3038  5 Ho 3.38-3.77, 3 Nd 3.61-3.62, 1 Th 3.67
Ho  0.0132  0.4454  0.2010  6 Ho 3.31-3.65, 2 Nd 3.48-3.70, 1 Th 3.53
Ho  0.0601  0.5871  0.5890  2 Nd 3.22-3.38, 4 Ho 3.31-3.45
Th  0.0000  0.0000  0.5000  6 Ho 3.53, 6 Nd 3.67

=====

[6]
Here is a geometry-optimized Nd4C2O structure from Alexandria. Energies are from PBE.

Results
* calculated total energy: -6.97 eV per atom
* V: 453.92 Å³ per cell
* energy relative to the elements, uncorrected: -0.906 eV per atom
* calculated density: 6.77 g/cm3

a = 3.7056 Å, b = 3.7056 Å, c = 38.1718 Å
α = 90.00°, β = 90.00°, γ = 120.00°
With the nearest neighbours (Å) after each atom.
Space group R-3m (No. 166, hexagonal axes)
One atom of each set of equivalent atoms:
Nd  0.0000  0.0000  0.1139  3 C 2.50
Nd  0.0000  0.0000  0.2949  3 O 2.59, 3 C 2.66
C  0.0000  0.0000  0.4133  6 Nd 2.50-2.66
O  0.0000  0.0000  0.0000  6 Nd 2.59

=====

[7]
Here is a geometry-optimized TaTiNbCu structure from Alexandria. Energies are from PBE.

Results
* calculated total energy: -8.11 eV per atom
* V: 148.53 Å³ per cell
* energy relative to the lowest polymorph listed for this composition: 0.301 eV per atom
* formation enthalpy at 0 K: 373 meV per atom
* calculated density: 8.61 g/cm3

a = 3.2469 Å, b = 3.2469 Å, c = 14.0884 Å
α = 90.00°, β = 90.00°, γ = 90.00°
With the nearest neighbours (Å) after each atom.
Space group I4mm (No. 107)
One atom of each set of equivalent atoms:
Ta  0.0000  0.0000  0.0000  1 Cu 2.57, 4 Nb 2.77
Ti  0.0000  0.0000  0.2219  4 Cu 2.66, 4 Nb 2.79
Nb  0.0000  0.0000  0.6094  4 Ta 2.77, 4 Ti 2.79, 1 Cu 2.93
Cu  0.0000  0.0000  0.8173  1 Ta 2.57, 4 Ti 2.66

=====

[8]
Here is a geometry-optimized Er3CuSi3 structure from Alexandria. Energies are from PBE.

Results
* calculated total energy: -5.61 eV per atom
* V: 546.71 Å³ per cell
* energy relative to the elements, uncorrected: -0.745 eV per atom
* calculated density: 7.89 g/cm3

a = 10.3278 Å, b = 4.1915 Å, c = 13.4899 Å
α = 90.00°, β = 110.57°, γ = 90.00°
With the nearest neighbours (Å) after each atom.
Space group C2/m (No. 12)
One atom of each set of equivalent atoms:
Er  0.0312  0.0000  0.3793  6 Si 2.91-3.07, 4 Cu 2.98-3.07
Er  0.1038  0.0000  0.9233  7 Si 2.91-3.07
Er  0.2449  0.0000  0.2239  6 Si 2.89-3.02, 2 Cu 3.16
Cu  0.2445  0.5000  0.3989  4 Si 2.44-2.62
Si  0.0385  0.5000  0.2315  1 Si 2.48, 1 Cu 2.50
Si  0.1132  0.5000  0.0756  2 Si 2.48-2.51
Si  0.1308  0.5000  0.5446  3 Cu 2.44-2.62, 1 Si 2.54

=====

[9]
Here is a geometry-optimized Li2AgSn structure from Alexandria. Energies are from PBE.

Results
* calculated total energy: -2.83 eV per atom
* V: 231.89 Å³ per cell
* formation enthalpy at 0 K: -163 meV per atom
* calculated density: 5.17 g/cm3

a = 3.1895 Å, b = 3.1895 Å, c = 26.3212 Å
α = 90.00°, β = 90.00°, γ = 120.00°
With the nearest neighbours (Å) after each atom.
Space group R3m (No. 160, hexagonal axes)
One atom of each set of equivalent atoms:
Li  0.0000  0.0000  0.0000  3 Ag 2.79, 3 Sn 2.92
Li  0.0000  0.0000  0.1728  3 Ag 2.82, 3 Sn 2.93
Ag  0.0000  0.0000  0.5870  6 Li 2.79-2.82
Sn  0.0000  0.0000  0.7528  6 Li 2.92-2.93, 6 Sn 3.19

=====

[10]
Here is a geometry-optimized Sn3Pb structure from Alexandria. Energies are from PBE.

Results
* calculated total energy: -3.85 eV per atom
* V: 229.47 Å³ per cell
* formation enthalpy at 0 K: 77 meV per atom
* calculated density: 8.15 g/cm3

a = 7.0244 Å, b = 7.0244 Å, c = 5.3695 Å
α = 90.00°, β = 90.00°, γ = 120.00°
With the nearest neighbours (Å) after each atom.
Space group P6_3/mmc (No. 194)
One atom of each set of equivalent atoms:
Sn  0.1613  0.3225  0.2500  8 Sn 3.33-3.63, 4 Pb 3.40-3.51
Pb  0.3333  0.6667  0.7500  12 Sn 3.40-3.51

=====

[11]
Here is a geometry-optimized Fe2PdRh structure from Alexandria. Energies are from PBE.

Results
* calculated total energy: -7.39 eV per atom
* V: 54.97 Å³ per cell
* formation enthalpy at 0 K: -24 meV per atom
* calculated density: 9.70 g/cm3

a = 3.9128 Å, b = 3.9128 Å, c = 3.5904 Å
α = 90.00°, β = 90.00°, γ = 90.00°
With the nearest neighbours (Å) after each atom.
Space group P4/mmm (No. 123)
One atom of each set of equivalent atoms:
Fe  0.0000  0.5000  0.0000  4 Rh 2.66, 4 Pd 2.66, 4 Fe 2.77
Pd  0.0000  0.0000  0.5000  8 Fe 2.66, 4 Rh 2.77
Rh  0.5000  0.5000  0.5000  8 Fe 2.66, 4 Pd 2.77

=====

[12]
Here is a geometry-optimized TbAs12Ru4 structure from Alexandria. Energies are from PBE.

Results
* calculated total energy: -6.17 eV per atom
* V: 632.65 Å³ per cell
* formation enthalpy at 0 K: -432 meV per atom
* calculated density: 7.68 g/cm3

a = 8.5846 Å, b = 8.5846 Å, c = 8.5846 Å
α = 90.00°, β = 90.00°, γ = 90.00°
With the nearest neighbours (Å) after each atom.
Space group Im-3 (No. 204)
One atom of each set of equivalent atoms:
Tb  0.0000  0.0000  0.0000  12 As 3.25
As  0.0000  0.1494  0.3484  2 Ru 2.46, 2 As 2.56-2.60
Ru  0.2500  0.2500  0.2500  6 As 2.46

=====

- V of number 1 (Cs3NaS2O8)?
  266.80 Å³ per cell